1.
A relaxed CuNi2TeH crystal, computed with PBE.

a = 4.602 Å, b = 3.180 Å, c = 4.602 Å
α = 90.00°, β = 90.00°, γ = 90.00°
Sites, in units of the cell vectors:
H (0.000, 0.500, 0.000)
Te (0.500, 0.500, 0.500)
Ni (0.500, 0.000, 0.000)
Ni (0.000, 0.000, 0.500)
Cu (0.000, 0.000, 0.000)

- calculated total energy (eV/atom) = -3.973
- total magnetic moment (Bohr magnetons per cell) = 0.000
- space group = P4/mmm, No. 123

=====

2.
A relaxed TlSb2Te4 crystal, computed with PBE.

a = 4.387 Å, b = 4.387 Å, c = 14.202 Å
α = 81.12°, β = 81.12°, γ = 60.00°
Sites, in units of the cell vectors:
Sb (0.429, 0.429, 0.714)
Sb (0.571, 0.571, 0.286)
Te (0.136, 0.136, 0.591)
Te (0.283, 0.283, 0.152)
Te (0.717, 0.717, 0.848)
Te (0.864, 0.864, 0.409)
Tl (0.000, 0.000, 0.000)

- total magnetic moment (Bohr magnetons per cell) = 0.000
- raw formation energy (eV per atom) = -0.135
- space group = R-3m, No. 166

=====

3.
A relaxed HoS5Br crystal, computed with PBE.

a = 4.196 Å, b = 4.571 Å, c = 11.613 Å
α = 90.60°, β = 100.77°, γ = 89.81°
Sites, in units of the cell vectors:
S (0.896, 0.565, 0.072)
S (0.426, 0.121, 0.780)
S (0.216, 0.902, 0.136)
S (0.400, 0.583, 0.734)
S (0.962, 0.241, 0.201)
Ho (0.856, 0.303, 0.646)
Br (0.775, 0.815, 0.493)

- total magnetic moment (Bohr magnetons per cell) = 0.000
- raw formation energy (eV per atom) = -0.685
- space group = P1, No. 1